Entry 1:
Entry from Alexandria: a geometry-optimized CsLiNpCl5 structure (PBE-GGA).

Cell: 7.825 7.825 10.411 Å, 103.99 103.99 106.50°
Fractional positions:
1 Cs 0.158 0.842 0.750
2 Cs 0.842 0.158 0.250
3 Li 0.193 0.807 0.250
4 Li 0.807 0.193 0.750
5 Np 0.500 0.500 0.000
6 Np 0.500 0.500 0.500
7 Cl 0.128 0.271 0.910
8 Cl 0.206 0.608 0.397
9 Cl 0.271 0.128 0.410
10 Cl 0.392 0.794 0.103
11 Cl 0.432 0.568 0.750
12 Cl 0.568 0.432 0.250
13 Cl 0.608 0.206 0.897
14 Cl 0.729 0.872 0.590
15 Cl 0.794 0.392 0.603
16 Cl 0.872 0.729 0.090

## Properties
- final energy (eV per formula unit) = -39.559
- E_form (uncorrected) (meV per atom) = -1827
- theoretical density (g cm⁻³) = 3.29
- SG = C2/c

Entry 2:
Entry from Alexandria: a geometry-optimized CsLi2NpCl8 structure (PBE-GGA).

Cell: 6.523 6.523 9.838 Å, 92.17 92.17 71.92°
Fractional positions:
1 Cs 0.000 0.000 0.000
2 Li 0.498 0.498 0.153
3 Li 0.502 0.502 0.847
4 Np 0.000 0.000 0.500
5 Cl 0.227 0.755 0.315
6 Cl 0.233 0.233 0.499
7 Cl 0.245 0.773 0.685
8 Cl 0.335 0.335 0.990
9 Cl 0.665 0.665 0.010
10 Cl 0.755 0.227 0.315
11 Cl 0.767 0.767 0.501
12 Cl 0.773 0.245 0.685

## Properties
- final energy (eV per formula unit) = -52.004
- E_form (uncorrected) (meV per atom) = -1634
- theoretical density (g cm⁻³) = 2.79
- SG = C2/m

Entry 3:
Entry from Alexandria: a geometry-optimized Cs2LiOsCl6 structure (PBE-GGA).

Cell: 12.708 12.708 12.708 Å, 33.61 33.61 33.61°
Fractional positions:
1 Cs 0.125 0.125 0.125
2 Cs 0.292 0.292 0.292
3 Cs 0.708 0.708 0.708
4 Cs 0.875 0.875 0.875
5 Li 0.418 0.418 0.418
6 Li 0.582 0.582 0.582
7 Os 0.000 0.000 0.000
8 Os 0.500 0.500 0.500
9 Cl 0.157 0.612 0.612
10 Cl 0.192 0.192 0.730
11 Cl 0.192 0.730 0.192
12 Cl 0.270 0.808 0.808
13 Cl 0.388 0.388 0.843
14 Cl 0.388 0.843 0.388
15 Cl 0.612 0.157 0.612
16 Cl 0.612 0.612 0.157
17 Cl 0.730 0.192 0.192
18 Cl 0.808 0.270 0.808
19 Cl 0.808 0.808 0.270
20 Cl 0.843 0.388 0.388

## Properties
- final energy (eV per formula unit) = -38.870
- E_form (uncorrected) (meV per atom) = -1294
- ΔE to the lowest computed polymorph (meV/atom) = 0
- theoretical density (g cm⁻³) = 4.01
- SG = R-3m

Entry 4:
Entry from Alexandria: a geometry-optimized Cs2LiOsCl6 structure (PBE-GGA).

Cell: 7.234 7.234 7.234 Å, 120.05 120.05 89.91°
Fractional positions:
1 Cs 0.250 0.750 0.500
2 Cs 0.750 0.250 0.500
3 Li 0.000 0.000 0.000
4 Os 0.500 0.500 0.000
5 Cl 0.265 0.265 0.000
6 Cl 0.265 0.265 0.530
7 Cl 0.265 0.735 0.000
8 Cl 0.735 0.265 0.000
9 Cl 0.735 0.735 0.000
10 Cl 0.735 0.735 0.470

## Properties
- final energy (eV per formula unit) = -38.484
- E_form (uncorrected) (meV per atom) = -1255
- ΔE to the lowest computed polymorph (meV/atom) = 39
- theoretical density (g cm⁻³) = 4.20
- SG = I4/mmm

Entry 5:
Entry from Alexandria: a geometry-optimized CsLiOsCl6 structure (PBE-GGA).

Cell: 6.497 6.497 7.807 Å, 90.00 90.00 120.00°
Fractional positions:
1 Cs 0.000 0.000 0.000
2 Li 0.333 0.667 0.500
3 Os 0.667 0.333 0.500
4 Cl 0.381 0.027 0.674
5 Cl 0.381 0.354 0.326
6 Cl 0.646 0.027 0.326
7 Cl 0.646 0.619 0.674
8 Cl 0.973 0.354 0.674
9 Cl 0.973 0.619 0.326

## Properties
- final energy (eV per formula unit) = -34.866
- E_form (uncorrected) (meV per atom) = -1088
- theoretical density (g cm⁻³) = 3.16
- SG = P312

Entry 6:
Entry from Alexandria: a geometry-optimized CsLiPCl2 structure (PBE-GGA).

Cell: 5.249 5.249 5.235 Å, 90.00 90.00 90.00°
Fractional positions:
1 Cs 0.000 0.000 0.000
2 Li 0.500 0.500 0.500
3 P 0.500 0.500 0.000
4 Cl 0.000 0.500 0.500
5 Cl 0.500 0.000 0.500

## Properties
- final energy (eV per formula unit) = -15.411
- E_form (uncorrected) (meV per atom) = -708
- ΔE to the lowest computed polymorph (meV/atom) = 0
- theoretical density (g cm⁻³) = 2.78
- SG = P4/mmm

Entry 7:
Entry from Alexandria: a geometry-optimized CsLiP2Cl structure (PBE-GGA).

Cell: 4.699 4.699 6.285 Å, 90.00 90.00 90.00°
Fractional positions:
1 Cs 0.000 0.000 0.000
2 Li 0.500 0.500 0.500
3 P 0.000 0.500 0.500
4 P 0.500 0.000 0.500
5 Cl 0.500 0.500 0.000

## Properties
- final energy (eV per formula unit) = -15.483
- E_form (uncorrected) (meV per atom) = -10
- ΔE to the lowest computed polymorph (meV/atom) = 0
- theoretical density (g cm⁻³) = 2.84
- SG = P4/mmm

Entry 8:
Entry from Alexandria: a geometry-optimized CsLiPCl2 structure (PBE-GGA).

Cell: 6.322 6.322 5.721 Å, 90.00 90.00 90.00°
Fractional positions:
1 Cs 0.000 0.000 0.000
2 Li 0.500 0.500 0.500
3 P 0.000 0.000 0.500
4 Cl 0.000 0.500 0.000
5 Cl 0.500 0.000 0.000

## Properties
- final energy (eV per formula unit) = -12.015
- E_form (uncorrected) (meV per atom) = -29
- ΔE to the lowest computed polymorph (meV/atom) = 679
- theoretical density (g cm⁻³) = 1.76
- SG = P4/mmm